[1]
Material: Si4RuW
Method: DFT, PBE
State: optimized geometry

For the final energy, the calculation gives -6.85 eV per atom. Its crystal system is cubic.

It has space group F-43m (No. 216), with a = 6.813 Å, b = 6.813 Å, c = 6.813 Å, α = 90.00°, β = 90.00° and γ = 90.00°. Symmetry generates all atoms from Si at (0.125, 0.125, 0.125), Ru at (0.250, 0.250, 0.750) and W at (0.000, 0.000, 0.500).

[2]
Material: Zn2FeNiRh
Method: DFT, PBE
State: optimized geometry

The formation energy is 0.96 eV/atom. For the final energy, the calculation gives -3.87 eV per atom. Its crystal system is tetragonal.

It has space group P4/mmm (No. 123), with a = 4.474 Å, b = 4.474 Å, c = 4.306 Å, α = 90.00°, β = 90.00° and γ = 90.00°. Symmetry generates all atoms from Zn at (0.000, 0.500, 0.000), Fe at (0.000, 0.000, 0.000), Ni at (0.500, 0.500, 0.500) and Rh at (0.000, 0.000, 0.500).

[3]
Material: Ba2HgSbO6
Method: DFT, PBE
State: optimized geometry

For the final energy, the calculation gives -5.48 eV per atom. Its crystal system is monoclinic.

It has space group P2_1/c (No. 14), with a = 6.293 Å, b = 6.201 Å, c = 10.294 Å, α = 90.00°, β = 126.94° and γ = 90.00°. Symmetry generates all atoms from Ba at (0.249, 0.021, 0.250), Hg at (0.500, 0.000, 0.000), Sb at (0.000, 0.000, 0.500), O at (0.162, 0.246, 0.463), O at (0.214, 0.703, 0.968) and O at (0.316, 0.022, 0.744).

[4]
Material: PmUTe3
Method: DFT, PBE
State: optimized geometry

For the final energy, the calculation gives -6.11 eV per atom. Its crystal system is orthorhombic.

It has space group Pnma (No. 62), with a = 8.330 Å, b = 4.351 Å, c = 17.421 Å, α = 90.00°, β = 90.00° and γ = 90.00°. Symmetry generates all atoms from Pm at (0.114, 0.250, 0.203), U at (0.230, 0.750, 0.462), Te at (0.001, 0.250, 0.393), Te at (0.116, 0.750, 0.068) and Te at (0.171, 0.250, 0.784).

> Among the records above, which one has the highest final energy?

Zn2FeNiRh